1.
Entry from the Alexandria database: a geometry-optimized Dy2Ga3Pt structure (PBE-GGA).

For the density of states at the Fermi level, the calculation gives 0.47 states/eV per atom. As for the formation enthalpy at 0 K: -5.2 eV/f.u.

a = 10.3069 Å, b = 4.4375 Å, c = 7.1255 Å
α = 90.00°, β = 132.26°, γ = 90.00°
Last column: nearest neighbours and their distance in Å.
Space group Cm (No. 8)
Asymmetric unit:
Dy (0.0000, 0.0000, 0.0000)  9 Ga 3.04-3.32, 3 Pt 3.17-3.28
Dy (0.0867, 0.0000, 0.5948)  3 Pt 3.00-3.09, 9 Ga 3.05-3.34
Ga (0.2007, 0.5000, 0.9984)  1 Pt 2.57, 3 Ga 2.60-2.85
Ga (0.2072, 0.5000, 0.4046)  2 Pt 2.57, 2 Ga 2.65-2.85
Ga (0.3772, 0.0000, 0.2003)  3 Ga 2.60-2.65, 1 Pt 2.79
Pt (0.3750, 0.0000, 0.5895)  4 Ga 2.57-2.79

2.
Entry from the Alexandria database: a geometry-optimized DyGa5Pt7 structure (PBE-GGA).

For the density of states at the Fermi level, the calculation gives 0.31 states/eV per atom. As for the formation enthalpy at 0 K: -8.4 eV/f.u.

a = 5.3822 Å, b = 9.0573 Å, c = 8.7562 Å
α = 90.00°, β = 90.00°, γ = 90.00°
Last column: nearest neighbours and their distance in Å.
Space group Imm2 (No. 44)
Asymmetric unit:
Dy (0.0000, 0.0000, 0.0000)  4 Pt 2.89-3.06
Ga (0.0000, 0.5000, 0.2660)  6 Pt 2.60-2.82, 4 Ga 2.73
Ga (0.2454, 0.2586, 0.7365)  7 Pt 2.54-2.79, 3 Ga 2.64-2.74
Pt (0.0000, 0.0000, 0.3382)  4 Ga 2.73, 5 Pt 2.89-2.93, 1 Dy 2.96
Pt (0.0000, 0.0000, 0.6701)  6 Ga 2.75-2.82, 1 Dy 2.89, 1 Pt 2.91
Pt (0.0000, 0.2955, 0.4741)  5 Ga 2.54-2.67, 1 Pt 2.83
Pt (0.0000, 0.3378, 0.0052)  5 Ga 2.60-2.79, 1 Pt 2.91
Pt (0.0000, 0.5000, 0.7188)  4 Ga 2.56, 2 Pt 2.83